Entry 1:
First-principles (PBE) data for a relaxed structure of NdTa2O6, as listed in the Alexandria database.

abc: 11.638 3.880 7.504
angles: 90.00 100.29 90.00
Space group C2/m (No. 12)
One atom of each set of equivalent atoms:
1 Nd 0.000 0.000 0.000 (multiplicity 2)
2 Ta 0.244 0.500 0.317 (multiplicity 4)
3 O 0.102 0.500 0.145 (multiplicity 4)
4 O 0.127 0.000 0.789 (multiplicity 4)
5 O 0.231 0.000 0.397 (multiplicity 4)

Summary:
Relative energy among the computed polymorphs, kJ/mol of atoms: 13.4
Total magnetization, μB per atom: 0.1134
Raw formation energy, eV/f.u.: -25.50

***

Entry 2:
First-principles (PBE) data for a relaxed structure of Nd2Ta2O7, as listed in the Alexandria database.

abc: 10.564 10.564 10.564
angles: 90.00 90.00 90.00
Space group Fd-3m (No. 227, origin choice 2)
One atom of each set of equivalent atoms:
1 Nd 0.000 0.000 0.000 (multiplicity 16)
2 Ta 0.000 0.000 0.500 (multiplicity 16)
3 O 0.088 0.375 0.875 (multiplicity 48)
4 O 0.125 0.125 0.125 (multiplicity 8)

Summary:
Relative energy among the computed polymorphs, kJ/mol of atoms: 0.0
Total magnetization, μB per atom: 0.0621
Raw formation energy, eV/f.u.: -32.49

***

Entry 3:
First-principles (PBE) data for a relaxed structure of Nd2TaO, as listed in the Alexandria database.

abc: 3.3282 3.3282 27.4413
angles: 90.00 90.00 120.00
Space group R-3m (No. 166, hexagonal axes)
One atom of each set of equivalent atoms:
1 Nd 0.0000 0.0000 0.1099 (multiplicity 6)
2 Ta 0.0000 0.0000 0.0000 (multiplicity 3)
3 O 0.0000 0.0000 0.5000 (multiplicity 3)

Summary:
Total magnetization, μB per atom: 0.2366
Raw formation energy, eV/f.u.: -2.44

***

- Which of these has the lowest raw formation energy?
  Nd2Ta2O7

***

- The highest total magnetization belongs to which entry?
  Nd2TaO

***

- Which formula does entry 2 have?
  Nd2Ta2O7

***

- Which value of total magnetization does entry 1 give?
  0.1134 μB per atom